Entry 1:
A geometry-optimized Na8SnBi6 structure, computed with GGA-PBE.

a b c (Å): 9.8126 9.8126 18.2519
angles (deg): 90.00 90.00 120.00
Space group R-3 (No. 148, hexagonal axes)
Asymmetric unit:
Na 0.0000 0.0000 0.1159 (multiplicity 6)
Na 0.0433 0.2380 0.6381 (multiplicity 18)
Sn 0.0000 0.0000 0.5000 (multiplicity 3)
Bi 0.0101 0.6999 0.1937 (multiplicity 18)

Results
* formation enthalpy at 0 K: -163 meV/atom
* ρ: 5.095 g cm⁻³

---

Entry 2:
A geometry-optimized Na9Sn4Bi11 structure, computed with GGA-PBE.

a b c (Å): 15.017 22.712 4.226
angles (deg): 90.00 90.00 90.00
Space group Cmmm (No. 65)
Asymmetric unit:
Na 0.000 0.000 0.000 (multiplicity 2)
Na 0.108 0.242 0.000 (multiplicity 8)
Na 0.121 0.418 0.000 (multiplicity 8)
Sn 0.159 0.096 0.000 (multiplicity 8)
Bi 0.000 0.136 0.500 (multiplicity 4)
Bi 0.000 0.341 0.500 (multiplicity 4)
Bi 0.000 0.500 0.500 (multiplicity 2)
Bi 0.236 0.324 0.500 (multiplicity 8)
Bi 0.245 0.000 0.500 (multiplicity 4)

Results
* formation enthalpy at 0 K: -156 meV/atom
* ρ: 6.867 g cm⁻³

---

Entry 3:
A geometry-optimized Na2SnBi structure, computed with GGA-PBE.

a b c (Å): 3.5436 3.5436 31.7167
angles (deg): 90.00 90.00 120.00
Space group R-3m (No. 166, hexagonal axes)
Asymmetric unit:
Na 0.0000 0.0000 0.2492 (multiplicity 6)
Sn 0.0000 0.0000 0.0000 (multiplicity 3)
Bi 0.0000 0.0000 0.5000 (multiplicity 3)

Results
* formation enthalpy at 0 K: -146 meV/atom
* ρ: 5.397 g cm⁻³

---

Entry 4:
A geometry-optimized NaSn5Bi6 structure, computed with GGA-PBE.

a b c (Å): 9.053 17.717 5.898
angles (deg): 90.00 130.46 90.00
Space group C2/m (No. 12)
Asymmetric unit:
Na 0.000 0.000 0.000 (multiplicity 2)
Sn 0.000 0.166 0.500 (multiplicity 4)
Sn 0.000 0.333 0.000 (multiplicity 4)
Sn 0.000 0.500 0.500 (multiplicity 2)
Bi 0.246 0.500 0.247 (multiplicity 4)
Bi 0.247 0.333 0.747 (multiplicity 8)

Results
* formation enthalpy at 0 K: 36 meV/atom
* ρ: 8.631 g cm⁻³